A relaxed structure of LiIn2Pd8, computed with PBE-GGA.

electronic total energy: -52.5 eV/cell
energy above the most stable polymorph in this dataset: 0.44 eV per formula unit
energy relative to the elements: -0.322 eV per atom

Lattice parameters (Å, degrees): 4.0003 7.8930 7.3371 122.54 105.83 90.00
Closest atoms and distances in Å follow each position.
Fractional positions:
Pd 0.3367 0.0871 0.6734  1 Li 2.75, 7 Pd 2.77-2.85, 3 In 2.81-2.85
Pd 0.8345 0.8345 0.6691  8 Pd 2.75-2.81, 2 Li 2.78, 2 In 2.85
Pd 0.0000 0.7529 0.0000  2 In 2.75, 6 Pd 2.75-2.77, 2 Li 2.79
Pd 0.6633 0.9129 0.3266  1 Li 2.75, 7 Pd 2.77-2.85, 3 In 2.81-2.85
In 0.1613 0.6613 0.3225  10 Pd 2.75-2.85
Li 0.5000 0.0000 0.0000  12 Pd 2.75-2.79
Pd 0.1655 0.1655 0.3309  8 Pd 2.75-2.81, 2 Li 2.78, 2 In 2.85
In 0.8387 0.3387 0.6775  10 Pd 2.75-2.85
Pd 0.3367 0.5863 0.6734  1 Li 2.75, 7 Pd 2.77-2.85, 3 In 2.81-2.85
Pd 0.0000 0.2471 0.0000  2 In 2.75, 6 Pd 2.75-2.77, 2 Li 2.79
Pd 0.6633 0.4137 0.3266  1 Li 2.75, 7 Pd 2.77-2.85, 3 In 2.81-2.85